Record 1
A relaxed CrPdNO crystal, computed with PBE+U.

POSCAR file:
```
CrPdNO
1.0
5.9213 0.0000 0.1588
0.0000 3.0518 0.0000
-0.7934 0.0000 5.6124
Cr Pd O N
2 2 2 2
direct
0.1293 0.0000 0.7514 Cr
0.1293 0.5000 0.2514 Cr
0.5650 0.0000 0.1589 Pd
0.5650 0.5000 0.6589 Pd
0.8330 0.0000 0.7010 O
0.8330 0.5000 0.2010 O
0.2240 0.5000 0.5860 N
0.2240 0.0000 0.0860 N
```

Properties
The calculation puts the total magnetization at 0.308 μB per atom. The excess energy over the best structure of this formula in the dataset comes out at 1.07 eV per formula unit. Its symmetry is Cm (8).

---

Record 2
A relaxed CrPdNO crystal, computed with PBE+U.

POSCAR file:
```
CrPdNO
1.0
2.7302 0.0000 0.0000
0.0000 2.8587 0.0000
0.0000 0.0000 12.0954
N Cr Pd O
2 2 2 2
direct
0.0000 0.5000 0.2082 N
0.0000 0.0000 0.7082 N
0.5000 0.5000 0.7660 Cr
0.5000 0.0000 0.2660 Cr
0.0000 0.5000 0.0458 Pd
0.0000 0.0000 0.5458 Pd
0.0000 0.0000 0.3781 O
0.0000 0.5000 0.8781 O
```

Properties
The calculation puts the total magnetization at 0.479 μB per atom. The excess energy over the best structure of this formula in the dataset comes out at 0.90 eV per formula unit. Its symmetry is Amm2 (38).

---

Record 3
A relaxed CrPdNO crystal, computed with PBE+U.

POSCAR file:
```
CrPdNO
1.0
-2.8004 -0.2090 -1.3809
-2.2261 -1.8172 1.2452
-3.7373 4.1901 3.3874
Cr O N Pd
1 1 1 1
direct
0.3774 0.3807 0.1248 Cr
0.4665 0.4676 0.8573 O
0.6761 0.6799 0.2277 N
0.5717 0.5745 0.5414 Pd
```

Properties
The calculation puts the total magnetization at 0.463 μB per atom. The excess energy over the best structure of this formula in the dataset comes out at 0.79 eV per formula unit. Its symmetry is Cm (8).

---

Record 4
A relaxed CrPdN2O crystal, computed with PBE+U.

POSCAR file:
```
CrPdN2O
1.0
-1.5710 0.5618 -3.4219
0.7336 -3.6178 -0.9308
-3.2056 -0.9870 1.3096
Cr N Pd O
1 2 1 1
direct
0.0000 0.0000 0.0000 Cr
0.5000 0.0000 0.0000 N
0.0000 0.5000 0.0000 N
0.5000 0.5000 0.5000 Pd
0.0000 0.0000 0.5000 O
```

Properties
The calculation puts the total magnetization at 0.000 μB per atom. Its symmetry is P4/mmm (123).

---

Record 5
A relaxed CrPdNO crystal, computed with PBE+U.

POSCAR file:
```
CrPdNO
1.0
2.8804 0.0000 0.0000
-1.4402 2.4945 0.0000
0.0000 0.0000 6.3199
N Pd Cr O
1 1 1 1
direct
0.3333 0.6667 0.2460 N
0.3333 0.6667 0.5539 Pd
0.0000 0.0000 0.0689 Cr
0.3333 0.6667 0.8825 O
```

Properties
The calculation puts the total magnetization at 0.523 μB per atom. The excess energy over the best structure of this formula in the dataset comes out at 0.57 eV per formula unit. Its symmetry is P3m1 (156).

---

Record 6
A relaxed CrPdNO crystal, computed with PBE+U.

POSCAR file:
```
CrPdNO
1.0
3.0648 -0.0591 -0.0014
0.0688 3.4128 0.1020
0.0281 1.2186 5.4565
Cr N Pd O
1 1 1 1
direct
0.7984 0.4730 0.9011 Cr
0.7988 0.0410 0.7395 N
0.2988 0.1807 0.5041 Pd
0.2983 0.4022 0.1040 O
```

Properties
The calculation puts the total magnetization at 0.603 μB per atom. The excess energy over the best structure of this formula in the dataset comes out at 0.66 eV per formula unit. Its symmetry is Pm (6).

---

Record 7
A relaxed CrPdNO crystal, computed with PBE+U.

POSCAR file:
```
CrPdNO
1.0
6.3275 0.0000 -0.0934
0.0000 2.9650 0.0000
-1.3277 0.0000 5.0104
Cr N O Pd
2 2 2 2
direct
0.9304 0.0000 0.0094 Cr
0.9304 0.5000 0.5094 Cr
0.7634 0.0000 0.6329 N
0.7634 0.5000 0.1329 N
0.1082 0.5000 0.9089 O
0.1082 0.0000 0.4089 O
0.4467 0.0000 0.5247 Pd
0.4467 0.5000 0.0247 Pd
```

Properties
The calculation puts the total magnetization at 0.539 μB per atom. The excess energy over the best structure of this formula in the dataset comes out at 0.00 eV per formula unit. Its symmetry is Cm (8).

---

Record 8
A relaxed CrPdNO crystal, computed with PBE+U.

POSCAR file:
```
CrPdNO
1.0
-2.2233 5.4655 -2.1412
-3.0483 -1.1440 0.2450
0.3426 0.3215 5.7635
Cr N O Pd
2 2 2 2
direct
0.9826 0.5000 0.8445 Cr
0.9826 0.0000 0.3445 Cr
0.6580 0.5000 0.7343 N
0.6580 0.0000 0.2343 N
0.0640 0.0000 0.7032 O
0.0640 0.5000 0.2032 O
0.5442 0.5000 0.3658 Pd
0.5442 0.0000 0.8658 Pd
```

Properties
The calculation puts the total magnetization at 0.752 μB per atom. The excess energy over the best structure of this formula in the dataset comes out at 0.97 eV per formula unit. Its symmetry is Cm (8).

---

Record 9
A relaxed CrPdNO crystal, computed with PBE+U.

POSCAR file:
```
CrPdNO
1.0
2.8503 0.0000 0.0000
0.0000 2.8503 0.0000
0.0000 0.0000 12.1690
O N Pd Cr
2 2 2 2
direct
0.5000 0.5000 0.7480 O
0.0000 0.0000 0.2480 O
0.0000 0.0000 0.9224 N
0.5000 0.5000 0.4224 N
0.0000 0.0000 0.0873 Pd
0.5000 0.5000 0.5873 Pd
0.0000 0.0000 0.3905 Cr
0.5000 0.5000 0.8905 Cr
```

Properties
The calculation puts the total magnetization at 0.399 μB per atom. The excess energy over the best structure of this formula in the dataset comes out at 0.96 eV per formula unit. Its symmetry is I4mm (107).

---

Record 10
A relaxed CrPtN2O crystal, computed with PBE+U.

POSCAR file:
```
CrPtN2O
1.0
3.7560 0.0000 0.0000
0.0000 3.7560 0.0000
0.0000 0.0000 4.6119
Pt N O Cr
1 2 1 1
direct
0.0000 0.0000 0.0000 Pt
0.5000 0.0000 0.0000 N
0.0000 0.5000 0.0000 N
0.0000 0.0000 0.5000 O
0.5000 0.5000 0.5000 Cr
```

Properties
The calculation puts the total magnetization at 0.059 μB per atom. Its symmetry is P4/mmm (123).

---

Record 11
A relaxed CrPtNO2 crystal, computed with PBE+U.

POSCAR file:
```
CrPtNO2
1.0
-1.4524 2.6134 -2.9493
1.3692 -2.6127 -2.9894
-3.2159 -1.7366 0.0449
Pt N O Cr
1 1 2 1
direct
0.0000 0.0000 0.0000 Pt
0.0000 0.0000 0.5000 N
0.5000 0.0000 0.0000 O
0.0000 0.5000 0.0000 O
0.5000 0.5000 0.5000 Cr
```

Properties
The calculation puts the total magnetization at 0.857 μB per atom. Its symmetry is P4/mmm (123).

---

Record 12
A relaxed CrPtN2O crystal, computed with PBE+U.

POSCAR file:
```
CrPtN2O
1.0
-3.0340 2.3503 -0.5484
-0.9019 -0.2871 3.7595
2.0257 2.7778 0.6980
Pt N O Cr
1 2 1 1
direct
0.5000 0.5000 0.5000 Pt
0.5000 0.0000 0.0000 N
0.0000 0.5000 0.0000 N
0.0000 0.0000 0.5000 O
0.0000 0.0000 0.0000 Cr
```

Properties
The calculation puts the total magnetization at 0.000 μB per atom. Its symmetry is P4/mmm (123).

---

Record 13
A relaxed CrPtNO2 crystal, computed with PBE+U.

POSCAR file:
```
CrPtNO2
1.0
3.5753 0.0000 0.0000
0.0000 3.5753 0.0000
0.0000 0.0000 4.1788
O Pt Cr N
2 1 1 1
direct
0.5000 0.0000 0.0000 O
0.0000 0.5000 0.0000 O
0.5000 0.5000 0.5000 Pt
0.0000 0.0000 0.0000 Cr
0.0000 0.0000 0.5000 N
```

Properties
The calculation puts the total magnetization at 0.000 μB per atom. Its symmetry is P4/mmm (123).

---

Record 14
A relaxed RbCrN2O crystal, computed with PBE+U.

POSCAR file:
```
RbCrN2O
1.0
-2.9770 -2.0429 2.4987
1.4147 -3.8813 -1.4877
2.7219 -0.1911 3.0868
Rb Cr O N
1 1 1 2
direct
0.0000 0.0000 0.0000 Rb
0.5000 0.5000 0.5000 Cr
0.0000 0.0000 0.5000 O
0.5000 0.0000 0.0000 N
0.0000 0.5000 0.0000 N
```

Properties
The calculation puts the total magnetization at 0.393 μB per atom. Its symmetry is P4/mmm (123).

---

Final energy (computed, eV per atom): -6.643, -6.687, -6.713, -6.000, -6.769, -6.746, -6.911, -6.670, -6.672, -5.600, -5.957, -5.938, -5.843, -3.002